Entry from Alexandria: Ta2TcTe after structural relaxation (PBE).

Cell and atoms, written as POSCAR:
```
Ta2TcTe
1.0
-1.667 2.488 -0.885
-2.882 -0.855 3.024
2.753 3.090 3.496
Ta Tc Te
2 1 1
direct
0.000 0.000 0.009 Ta
0.000 0.000 0.491 Ta
0.500 0.500 0.250 Tc
0.500 0.500 0.750 Te
```

space-group type	No. 47
theoretical density	13.5	g cm⁻³
raw total energy	-36.4	eV per cell

Entry from Alexandria: TaTc4Te after structural relaxation (PBE).

Cell and atoms, written as POSCAR:
```
TaTc4Te
1.0
0.000 3.691 3.691
3.691 0.000 3.691
3.691 3.691 0.000
Ta Tc Te
1 4 1
direct
0.000 0.000 0.000 Ta
0.874 0.375 0.375 Tc
0.375 0.375 0.874 Tc
0.375 0.874 0.375 Tc
0.375 0.375 0.375 Tc
0.750 0.750 0.750 Te
```

space-group type	No. 216
theoretical density	11.6	g cm⁻³
raw total energy	-54.3	eV per cell

Entry from Alexandria: Ta3TcTe after structural relaxation (PBE).

Cell and atoms, written as POSCAR:
```
Ta3TcTe
1.0
-0.994 0.727 4.698
0.625 -4.738 0.866
4.713 0.781 0.876
Te Tc Ta
1 1 3
direct
0.500 0.500 0.500 Te
0.000 0.000 0.000 Tc
0.000 0.500 0.000 Ta
0.000 0.000 0.500 Ta
0.500 0.000 0.000 Ta
```

space-group type	No. 221
theoretical density	11.1	g cm⁻³
raw total energy	-43.8	eV per cell

Entry from Alexandria: TaTcTe2 after structural relaxation (PBE).

Cell and atoms, written as POSCAR:
```
TaTcTe2
1.0
-4.353 -3.454 -4.403
0.741 -5.290 -4.663
0.731 2.808 6.469
Ta Tc Te
1 1 2
direct
0.422 0.422 0.000 Ta
0.272 0.772 0.500 Tc
0.035 0.035 0.000 Te
0.771 0.271 0.500 Te
```

space-group type	No. 44
theoretical density	9.4	g cm⁻³
raw total energy	-27.7	eV per cell

Entry from Alexandria: TaTcTe after structural relaxation (PBE).

Cell and atoms, written as POSCAR:
```
TaTcTe
1.0
4.492 0.000 0.000
-2.246 3.890 0.000
0.000 0.000 3.102
Ta Tc Te
1 1 1
direct
0.000 0.000 0.000 Ta
0.667 0.333 0.500 Tc
0.333 0.667 0.500 Te
```

space-group type	No. 187
theoretical density	12.5	g cm⁻³
raw total energy	-24.8	eV per cell

Entry from Alexandria: TaTcTe2 after structural relaxation (PBE).

Cell and atoms, written as POSCAR:
```
TaTcTe2
1.0
-0.177 -1.722 3.786
-1.513 -2.992 -1.431
6.461 -2.811 -0.977
Ta Tc Te
1 1 2
direct
0.000 0.375 0.613 Ta
0.500 0.875 0.635 Tc
0.000 0.875 0.903 Te
0.500 0.375 0.349 Te
```

space-group type	No. 6
theoretical density	8.2	g cm⁻³
raw total energy	-29.1	eV per cell

Entry from Alexandria: Ta2TcTe after structural relaxation (PBE).

Cell and atoms, written as POSCAR:
```
Ta2TcTe
1.0
-2.414 4.319 2.233
-5.316 0.633 -0.895
3.739 -3.393 1.994
Ta Tc Te
2 1 1
direct
0.995 0.995 0.000 Ta
0.505 0.505 0.000 Ta
0.750 0.250 0.500 Tc
0.250 0.750 0.500 Te
```

space-group type	No. 71
theoretical density	13.8	g cm⁻³
raw total energy	-36.8	eV per cell

Entry from Alexandria: Ta2TcTe after structural relaxation (PBE).

Cell and atoms, written as POSCAR:
```
Ta2TcTe
1.0
8.897 0.006 0.004
8.326 3.134 0.004
8.326 1.518 2.742
Ta Tc Te
2 1 1
direct
0.002 0.002 0.002 Ta
0.755 0.755 0.755 Ta
0.494 0.494 0.494 Tc
0.249 0.249 0.249 Te
```

space-group type	No. 160
theoretical density	12.8	g cm⁻³
raw total energy	-36.2	eV per cell